[1]
An optimized crystal structure of SrCdIn2Sn. Source: the Alexandria database, functional PBE-GGA.

Calculated values
raw total energy: -27.0 eV for the cell shown

Lattice parameters (Å, degrees): 4.8068 5.0390 12.3140 90.00 90.00 90.00
Closest atoms and distances in Å follow each position.
Positions (direct):
Sr 0.0000 0.0000 0.0000  4 Sn 3.75, 8 In 3.77-4.02, 4 Cd 3.82-4.06
Sr 0.5000 0.5000 0.5000  4 Sn 3.75, 8 In 3.77-4.02, 4 Cd 3.82-4.06
Cd 0.0000 0.5000 0.7414  2 In 2.95, 2 Sn 3.00
Cd 0.5000 0.0000 0.2414  2 In 2.95, 2 Sn 3.00
In 0.0000 0.0000 0.6175  1 Sn 2.84, 2 In 2.94, 2 Cd 2.95
In 0.0000 0.5000 0.2548  2 In 2.94, 2 Sn 3.00
In 0.5000 0.0000 0.7548  2 In 2.94, 2 Sn 3.00
In 0.5000 0.5000 0.1175  1 Sn 2.84, 2 In 2.94, 2 Cd 2.95
Sn 0.0000 0.0000 0.3867  3 In 2.84-3.00, 2 Cd 3.00
Sn 0.5000 0.5000 0.8867  3 In 2.84-3.00, 2 Cd 3.00

=====

[2]
An optimized crystal structure of SrCd2InSn2. Source: the Alexandria database, functional PBE-GGA.

Calculated values
raw total energy: -31.0 eV for the cell shown

Lattice parameters (Å, degrees): 7.9031 8.6048 5.1577 90.00 90.00 90.00
Closest atoms and distances in Å follow each position.
Positions (direct):
Sr 0.0000 0.0000 0.0000  6 Cd 3.39-3.64, 6 Sn 3.42-3.61
Sr 0.5000 0.5000 0.5000  6 Cd 3.39-3.64, 6 Sn 3.42-3.61
Cd 0.1974 0.1809 0.5000  4 Sn 2.95-3.18, 1 In 3.16
Cd 0.3026 0.6809 0.0000  4 Sn 2.95-3.18, 1 In 3.16
Cd 0.6974 0.3191 0.0000  4 Sn 2.95-3.18, 1 In 3.16
Cd 0.8026 0.8191 0.5000  4 Sn 2.95-3.18, 1 In 3.16
In 0.0000 0.5000 0.5000  2 Cd 3.16, 2 Sn 3.19
In 0.5000 0.0000 0.0000  2 Cd 3.16, 2 Sn 3.19
Sn 0.2049 0.8201 0.5000  4 Cd 2.95-3.18, 1 In 3.19
Sn 0.2951 0.3201 0.0000  4 Cd 2.95-3.18, 1 In 3.19
Sn 0.7049 0.6799 0.0000  4 Cd 2.95-3.18, 1 In 3.19
Sn 0.7951 0.1799 0.5000  4 Cd 2.95-3.18, 1 In 3.19

=====

[3]
An optimized crystal structure of Cd2InTcSn. Source: the Alexandria database, functional PBE-GGA.

Calculated values
raw total energy: -12.5 eV for the cell shown

Lattice parameters (Å, degrees): 5.2592 5.2592 5.7758 90.00 90.00 90.00
Closest atoms and distances in Å follow each position.
Positions (direct):
Cd 0.0000 0.5000 0.0000  2 In 2.63
Cd 0.5000 0.0000 0.0000  2 In 2.63
In 0.0000 0.0000 0.0000  4 Cd 2.63, 2 Sn 2.89
Tc 0.5000 0.5000 0.5000  4 Sn 3.72, 8 Cd 3.91
Sn 0.0000 0.0000 0.5000  2 In 2.89

=====

[4]
An optimized crystal structure of CdIn2TcSn. Source: the Alexandria database, functional PBE-GGA.

Calculated values
raw total energy: -14.5 eV for the cell shown

Lattice parameters (Å, degrees): 5.3366 5.3366 5.5523 90.00 90.00 90.00
Closest atoms and distances in Å follow each position.
Positions (direct):
Cd 0.0000 0.0000 0.0000  4 In 2.67, 2 Sn 2.78
In 0.0000 0.5000 0.0000  2 Cd 2.67
In 0.5000 0.0000 0.0000  2 Cd 2.67
Tc 0.5000 0.5000 0.5000  4 Sn 3.77, 8 In 3.85
Sn 0.0000 0.0000 0.5000  2 Cd 2.78

=====

[5]
An optimized crystal structure of TlCdInSn. Source: the Alexandria database, functional PBE-GGA.

Calculated values
distance to the lowest polymorph of the same formula: 0.0 kJ/mol of atoms
raw total energy: -19.8 eV for the cell shown

Lattice parameters (Å, degrees): 4.8810 4.8816 9.1645 90.00 90.07 90.00
Closest atoms and distances in Å follow each position.
Positions (direct):
Tl 0.0000 0.0000 0.0000  4 Cd 3.33, 4 Tl 3.45, 4 In 3.48-3.51
Tl 0.5000 0.5000 0.0000  4 Cd 3.33, 4 Tl 3.45, 4 In 3.48-3.51
Cd 0.0012 0.5000 0.2474  4 Sn 3.22-3.24, 4 Tl 3.33, 4 Cd 3.45
Cd 0.5012 0.0000 0.2474  4 Sn 3.22-3.24, 4 Tl 3.33, 4 Cd 3.45
In 0.0038 0.5000 0.7267  4 Sn 3.33-3.34, 4 In 3.45, 4 Tl 3.48-3.51
In 0.5038 0.0000 0.7267  4 Sn 3.33-3.34, 4 In 3.45, 4 Tl 3.48-3.51
Sn 0.0040 0.0000 0.4788  4 Cd 3.22-3.24, 4 In 3.33-3.34, 4 Sn 3.45
Sn 0.5040 0.5000 0.4788  4 Cd 3.22-3.24, 4 In 3.33-3.34, 4 Sn 3.45

=====

[6]
An optimized crystal structure of Tl3CdIn3Sn2. Source: the Alexandria database, functional PBE-GGA.

Calculated values
raw total energy: -23.8 eV for the cell shown

Lattice parameters (Å, degrees): 9.2040 9.2040 3.4590 90.00 90.00 120.00
Closest atoms and distances in Å follow each position.
Positions (direct):
Tl 0.0000 0.7077 0.0000  2 Cd 3.20, 2 Sn 3.27, 2 Tl 3.46, 6 In 3.56
Tl 0.2923 0.2923 0.0000  2 Cd 3.20, 2 Sn 3.27, 2 Tl 3.46, 6 In 3.56
Tl 0.7077 0.0000 0.0000  2 Cd 3.20, 2 Sn 3.27, 2 Tl 3.46, 6 In 3.56
Cd 0.0000 0.0000 0.5000  6 Tl 3.20, 3 In 3.40, 2 Cd 3.46
In 0.0000 0.3695 0.5000  4 Sn 3.39, 1 Cd 3.40, 2 In 3.46, 6 Tl 3.56
In 0.3695 0.0000 0.5000  4 Sn 3.39, 1 Cd 3.40, 2 In 3.46, 6 Tl 3.56
In 0.6305 0.6305 0.5000  4 Sn 3.39, 1 Cd 3.40, 2 In 3.46, 6 Tl 3.56
Sn 0.3333 0.6667 0.0000  3 Tl 3.27, 6 In 3.39, 2 Sn 3.46
Sn 0.6667 0.3333 0.0000  3 Tl 3.27, 6 In 3.39, 2 Sn 3.46

=====

[7]
An optimized crystal structure of Tl2CdIn2Sn. Source: the Alexandria database, functional PBE-GGA.

Calculated values
raw total energy: -29.9 eV for the cell shown

Lattice parameters (Å, degrees): 5.3568 9.6183 6.5887 90.00 90.00 90.00
Closest atoms and distances in Å follow each position.
Positions (direct):
Tl 0.0000 0.0225 0.0000  3 In 3.28-3.44, 6 Tl 3.32-3.62, 1 Sn 3.32
Tl 0.0000 0.9775 0.5000  3 In 3.28-3.44, 6 Tl 3.32-3.62, 1 Sn 3.32
Tl 0.5000 0.1630 0.3075  5 In 3.29-3.54, 1 Cd 3.44, 4 Tl 3.46-3.62, 2 Sn 3.58
Tl 0.5000 0.8370 0.8075  5 In 3.29-3.54, 1 Cd 3.44, 4 Tl 3.46-3.62, 2 Sn 3.58
Cd 0.5000 0.4906 0.5160  4 In 3.11-3.37, 2 Sn 3.19, 2 Cd 3.30, 1 Tl 3.44
Cd 0.5000 0.5094 0.0160  4 In 3.11-3.37, 2 Sn 3.19, 2 Cd 3.30, 1 Tl 3.44
In 0.0000 0.3560 0.1025  2 Cd 3.11, 3 Sn 3.14-3.41, 1 Tl 3.28
In 0.0000 0.6440 0.6025  2 Cd 3.11, 3 Sn 3.14-3.41, 1 Tl 3.28
In 0.5000 0.2055 0.8118  2 Cd 3.22-3.37, 2 Sn 3.24, 5 Tl 3.29-3.54, 2 In 3.60
In 0.5000 0.7945 0.3118  2 Cd 3.22-3.37, 2 Sn 3.24, 5 Tl 3.29-3.54, 2 In 3.60
Sn 0.0000 0.3178 0.5879  5 In 3.14-3.41, 2 Cd 3.19, 1 Tl 3.32
Sn 0.0000 0.6822 0.0879  5 In 3.14-3.41, 2 Cd 3.19, 1 Tl 3.32

=====

[8]
An optimized crystal structure of Tl2Cd2InSn. Source: the Alexandria database, functional PBE-GGA.

Calculated values
raw total energy: -26.0 eV for the cell shown

Lattice parameters (Å, degrees): 9.4654 9.4654 9.4654 140.44 57.07 140.59
Closest atoms and distances in Å follow each position.
Positions (direct):
Tl 0.1774 0.2491 0.4265  5 Cd 3.12-3.28
Tl 0.3226 0.7491 0.0717  5 Cd 3.12-3.28
Tl 0.6774 0.2509 0.9283  5 Cd 3.12-3.28
Tl 0.8226 0.7509 0.5735  5 Cd 3.12-3.28
Cd 0.1348 0.7496 0.8844  5 Tl 3.12-3.28, 2 Sn 3.18, 2 In 3.18
Cd 0.3652 0.2496 0.6148  5 Tl 3.12-3.28, 2 Sn 3.18, 2 In 3.18
Cd 0.6348 0.7504 0.3852  5 Tl 3.12-3.28, 2 Sn 3.18, 2 In 3.18
Cd 0.8652 0.2504 0.1156  5 Tl 3.12-3.28, 2 Sn 3.18, 2 In 3.18
In 0.2500 0.2500 0.0000  4 Cd 3.18, 2 In 3.19, 2 Sn 3.20
In 0.7500 0.7500 0.0000  4 Cd 3.18, 2 In 3.19, 2 Sn 3.20
Sn 0.2500 0.7500 0.5000  4 Cd 3.18, 2 Sn 3.19, 2 In 3.20
Sn 0.7500 0.2500 0.5000  4 Cd 3.18, 2 Sn 3.19, 2 In 3.20

=====

[9]
An optimized crystal structure of Tl2CdInSn. Source: the Alexandria database, functional PBE-GGA.

Calculated values
distance to the lowest polymorph of the same formula: 32.1 kJ/mol of atoms
raw total energy: -10.5 eV for the cell shown

Lattice parameters (Å, degrees): 5.6314 5.6314 5.6459 90.00 90.00 90.00
Closest atoms and distances in Å follow each position.
Positions (direct):
Tl 0.0000 0.5000 0.0000  2 Cd 2.82
Tl 0.5000 0.0000 0.0000  2 Cd 2.82
Cd 0.0000 0.0000 0.0000  4 Tl 2.82, 2 Sn 2.82
In 0.5000 0.5000 0.5000  4 Sn 3.98, 8 Tl 3.99
Sn 0.0000 0.0000 0.5000  2 Cd 2.82

=====

[10]
An optimized crystal structure of TlCdIn3Sn. Source: the Alexandria database, functional PBE-GGA.

Calculated values
raw total energy: -30.6 eV for the cell shown

Lattice parameters (Å, degrees): 10.9789 10.9789 5.6858 104.57 104.57 29.83
Closest atoms and distances in Å follow each position.
Positions (direct):
Tl 0.0451 0.0451 0.2955  6 In 3.33-3.64, 2 Sn 3.37, 2 Tl 3.38-3.41
Tl 0.9549 0.9549 0.7045  6 In 3.33-3.64, 2 Sn 3.37, 2 Tl 3.38-3.41
Cd 0.2896 0.2896 0.0405  6 In 3.22-3.35, 2 Sn 3.24-3.25, 2 Cd 3.26
Cd 0.7104 0.7104 0.9595  6 In 3.22-3.35, 2 Sn 3.24-3.25, 2 Cd 3.26
In 0.1326 0.1326 0.8869  3 Cd 3.22-3.24, 4 In 3.24-3.33, 2 Tl 3.33-3.39
In 0.2096 0.2096 0.4647  3 Sn 3.20-3.22, 4 In 3.24-3.28, 2 Cd 3.27-3.29, 1 Tl 3.37
In 0.4530 0.4530 0.1984  4 In 3.33-3.49, 1 Cd 3.35, 3 Sn 3.36-3.72, 2 Tl 3.40
In 0.5470 0.5470 0.8016  4 In 3.33-3.49, 1 Cd 3.35, 3 Sn 3.36-3.72, 2 Tl 3.40
In 0.7904 0.7904 0.5353  3 Sn 3.20-3.22, 4 In 3.24-3.28, 2 Cd 3.27-3.29, 1 Tl 3.37
In 0.8674 0.8674 0.1131  3 Cd 3.22-3.24, 4 In 3.24-3.33, 2 Tl 3.33-3.39
Sn 0.3657 0.3657 0.6136  5 In 3.20-3.36, 2 Cd 3.24-3.25, 2 Tl 3.37
Sn 0.6343 0.6343 0.3864  5 In 3.20-3.36, 2 Cd 3.24-3.25, 2 Tl 3.37

=====

[11]
An optimized crystal structure of TlCd2In2Sn2. Source: the Alexandria database, functional PBE-GGA.

Calculated values
raw total energy: -17.3 eV for the cell shown

Lattice parameters (Å, degrees): 8.2346 8.2346 8.2346 37.88 37.88 37.88
Closest atoms and distances in Å follow each position.
Positions (direct):
Tl 0.0000 0.0000 0.0000  6 In 3.29, 2 Sn 3.31
Cd 0.4301 0.4301 0.4301  1 Cd 3.20, 4 In 3.27-3.34, 3 Sn 3.28
Cd 0.5699 0.5699 0.5699  1 Cd 3.20, 4 In 3.27-3.34, 3 Sn 3.28
In 0.2842 0.2842 0.2842  1 Sn 3.19, 4 Cd 3.27-3.34, 3 Tl 3.29
In 0.7158 0.7158 0.7158  1 Sn 3.19, 4 Cd 3.27-3.34, 3 Tl 3.29
Sn 0.1447 0.1447 0.1447  1 In 3.19, 3 Sn 3.25, 3 Cd 3.28, 1 Tl 3.31
Sn 0.8553 0.8553 0.8553  1 In 3.19, 3 Sn 3.25, 3 Cd 3.28, 1 Tl 3.31

=====

[12]
An optimized crystal structure of TlCdInSn. Source: the Alexandria database, functional PBE-GGA.

Calculated values
distance to the lowest polymorph of the same formula: 0.8 kJ/mol of atoms
raw total energy: -39.4 eV for the cell shown

Lattice parameters (Å, degrees): 7.6049 7.6049 7.6049 90.00 90.00 90.00
Closest atoms and distances in Å follow each position.
Positions (direct):
Tl 0.0000 0.0000 0.0000  4 Cd 3.29, 4 In 3.29
Tl 0.0000 0.5000 0.5000  4 Cd 3.29, 4 In 3.29
Tl 0.5000 0.0000 0.5000  4 Cd 3.29, 4 In 3.29
Tl 0.5000 0.5000 0.0000  4 Cd 3.29, 4 In 3.29
Cd 0.2500 0.2500 0.7500  4 Tl 3.29, 4 Sn 3.29
Cd 0.2500 0.7500 0.2500  4 Tl 3.29, 4 Sn 3.29
Cd 0.7500 0.2500 0.2500  4 Tl 3.29, 4 Sn 3.29
Cd 0.7500 0.7500 0.7500  4 Tl 3.29, 4 Sn 3.29
In 0.2500 0.2500 0.2500  4 Tl 3.29, 4 Sn 3.29
In 0.2500 0.7500 0.7500  4 Tl 3.29, 4 Sn 3.29
In 0.7500 0.2500 0.7500  4 Tl 3.29, 4 Sn 3.29
In 0.7500 0.7500 0.2500  4 Tl 3.29, 4 Sn 3.29
Sn 0.0000 0.0000 0.5000  4 Cd 3.29, 4 In 3.29
Sn 0.0000 0.5000 0.0000  4 Cd 3.29, 4 In 3.29
Sn 0.5000 0.0000 0.0000  4 Cd 3.29, 4 In 3.29
Sn 0.5000 0.5000 0.5000  4 Cd 3.29, 4 In 3.29

=====

[13]
An optimized crystal structure of Tl2CdInSn. Source: the Alexandria database, functional PBE-GGA.

Calculated values
distance to the lowest polymorph of the same formula: 0.0 kJ/mol of atoms
raw total energy: -24.4 eV for the cell shown

Lattice parameters (Å, degrees): 3.2409 5.2798 16.6811 90.00 90.00 90.00
Closest atoms and distances in Å follow each position.
Positions (direct):
Tl 0.0000 0.0000 0.0000  2 Tl 3.24, 4 Sn 3.48, 1 In 3.51, 2 Cd 3.59
Tl 0.0000 0.0000 0.3831  2 Tl 3.24, 4 In 3.47, 1 Sn 3.53, 2 Cd 3.57
Tl 0.5000 0.5000 0.5000  2 Tl 3.24, 4 Sn 3.48, 1 In 3.51, 2 Cd 3.59
Tl 0.5000 0.5000 0.8831  2 Tl 3.24, 4 In 3.47, 1 Sn 3.53, 2 Cd 3.57
Cd 0.0000 0.5000 0.6921  2 Sn 3.10, 2 In 3.10, 2 Cd 3.24
Cd 0.5000 0.0000 0.1921  2 Sn 3.10, 2 In 3.10, 2 Cd 3.24
In 0.0000 0.0000 0.7897  2 Cd 3.10, 2 In 3.24, 1 Sn 3.25, 4 Tl 3.47
In 0.5000 0.5000 0.2897  2 Cd 3.10, 2 In 3.24, 1 Sn 3.25, 4 Tl 3.47
Sn 0.0000 0.0000 0.5947  2 Cd 3.10, 2 Sn 3.24, 1 In 3.25
Sn 0.5000 0.5000 0.0947  2 Cd 3.10, 2 Sn 3.24, 1 In 3.25